Below is a relaxed structure of Ce2CdSb3, with properties calculated at the PBE level.

The structure belongs to space group Immm (No. 71); the cell edges are 4.540, 6.322 and 13.156 Å and the angles 90.00°, 90.00° and 90.00°. The distinct sites, in fractional coordinates, are Ce at (0.000, 0.000, 0.166), Cd at (0.000, 0.000, 0.500), Sb at (0.000, 0.500, 0.166) and Sb at (0.000, 0.500, 0.500).

For the uncorrected formation energy, the calculation gives -0.585 eV per atom. The volume is 31.46 A^3/atom. Its total energy is -0.35107 Ry/atom.

***

Below is a relaxed structure of CeCdSb3, with properties calculated at the PBE level.

The structure belongs to space group Pbcm (No. 57); the cell edges are 13.782, 6.276 and 6.287 Å and the angles 90.00°, 90.00° and 90.00°. The distinct sites, in fractional coordinates, are Ce at (0.180, 0.006, 0.250), Cd at (0.385, 0.250, 0.000), Sb at (0.000, 0.250, 0.000), Sb at (0.226, 0.511, 0.250) and Sb at (0.414, 0.675, 0.750).

For the uncorrected formation energy, the calculation gives -0.418 eV per atom. The volume is 27.19 A^3/atom. Its total energy is -0.31319 Ry/atom.